Below is a relaxed MgInSeBr2 crystal, with properties calculated at the GGA-PBE level.

Unit cell a=5.295 b=5.295 c=5.298 alpha=90.00 beta=90.00 gamma=90.00
Last column: magnetic moment on the atom in μB.
Fractional coordinates of all 5 atoms:
1 Mg 0.000 0.000 0.000  0.00
2 Se 0.000 0.000 0.500  0.47
3 Br 0.000 0.500 0.000  0.06
4 Br 0.500 0.000 0.000  0.06
5 In 0.500 0.500 0.500  0.03

As for the volume: 29.71 Å³ per atom. For the energy above the most stable polymorph in this dataset, the calculation gives 0 meV/atom. The calculation puts the uncorrected formation energy at -0.68 eV per atom.



Below is a relaxed KSiTc2 crystal, with properties calculated at the GGA-PBE level.

Unit cell a=5.599 b=5.599 c=2.608 alpha=79.25 beta=79.25 gamma=117.33
Fractional coordinates of all 4 atoms:
1 K 0.500 0.000 0.500
2 Si 0.000 0.500 0.500
3 Tc 0.000 0.000 0.000
4 Tc 0.500 0.500 0.000

As for the volume: 16.95 Å³ per atom. The calculation puts the uncorrected formation energy at 1.14 eV per atom.



Below is a relaxed ScTi3Co crystal, with properties calculated at the GGA-PBE level.

Unit cell a=4.527 b=4.527 c=4.527 alpha=90.00 beta=90.00 gamma=90.00
Fractional coordinates of all 5 atoms:
1 Sc 0.000 0.000 0.000
2 Co 0.500 0.500 0.500
3 Ti 0.000 0.500 0.000
4 Ti 0.000 0.000 0.500
5 Ti 0.500 0.000 0.000

The formation energy comes out at 1505 meV per atom. As for the volume: 18.55 Å³ per atom. For the energy above the most stable polymorph in this dataset, the calculation gives 1337 meV/atom.



Below is a relaxed Ho3Th3Tc2 crystal, with properties calculated at the GGA-PBE level.

Unit cell a=3.599 b=7.094 c=18.722 alpha=90.00 beta=90.00 gamma=104.69
Fractional coordinates of all 16 atoms:
1 Ho 0.932 0.864 0.417
2 Ho 0.068 0.136 0.917
3 Ho 0.932 0.864 0.083
4 Ho 0.068 0.136 0.583
5 Ho 0.695 0.389 0.250
6 Ho 0.305 0.611 0.750
7 Th 0.676 0.352 0.438
8 Th 0.324 0.648 0.938
9 Th 0.676 0.352 0.062
10 Th 0.324 0.648 0.562
11 Th 0.437 0.875 0.250
12 Th 0.563 0.125 0.750
13 Tc 0.705 0.410 0.850
14 Tc 0.295 0.590 0.350
15 Tc 0.705 0.410 0.650
16 Tc 0.295 0.590 0.150

The formation energy comes out at 41 meV per atom. As for the volume: 28.90 Å³ per atom.